1.
Y3ZnRu, relaxed, DFT PBE-GGA; offset from the most stable computed form = 31.4 kJ/mol of atoms; formation enthalpy at 0 K = -6 meV/atom; density = 4.8 Mg/m³; SG = Pm-3m (221)
1.0
-3.625 3.543 -1.631
-3.860 -3.580 0.803
-0.563 1.729 5.005
Zn Y Ru
1 3 1
Cartesian
-4.024 0.846 2.088
-1.813 1.772 -0.816
-1.930 -1.790 0.401
-0.281 0.864 2.503
0.000 0.000 0.000

2.
YZnRu2, relaxed, DFT PBE-GGA; formation enthalpy at 0 K = -39 meV/atom; density = 8.7 Mg/m³; SG = Imm2 (44)
1.0
5.503 0.002 0.003
4.576 3.056 0.003
1.831 0.556 4.061
Y Ru Zn
1 2 1
Cartesian
5.909 1.793 2.054
8.771 2.662 3.129
1.871 0.568 4.040
3.143 0.954 0.936

3.
Y5ZnRu4, relaxed, DFT PBE-GGA; formation enthalpy at 0 K = -330 meV/atom; density = 7.4 Mg/m³; SG = P4/mmm (123)
1.0
-1.999 2.343 -1.521
-2.398 -2.399 -0.544
-7.267 3.777 15.369
Ru Y Zn
4 5 1
Cartesian
-2.920 1.518 6.176
-5.792 3.010 12.248
-4.347 2.259 9.193
-1.476 0.767 3.121
-3.013 0.395 0.690
-5.832 1.861 6.652
-8.651 3.326 12.614
-7.242 2.593 9.634
-4.422 1.128 3.671
0.000 0.000 0.000

4.
YZnRu2, relaxed, DFT PBE-GGA; formation enthalpy at 0 K = 346 meV/atom; density = 8.6 Mg/m³; SG = R3m (160)
1.0
-0.389 7.778 -5.434
-3.231 7.091 -5.426
-2.104 8.674 -3.241
Y Ru Zn
1 2 1
Cartesian
-2.873 11.817 -7.077
-5.711 23.487 -14.067
-1.491 6.134 -3.674
-4.236 17.421 -10.434

5.
YZn9Ru2, relaxed, DFT PBE-GGA; formation enthalpy at 0 K = -94 meV/atom; density = 8.0 Mg/m³; SG = R-3m (166)
1.0
4.857 0.000 1.445
2.213 4.323 1.445
0.063 0.038 8.672
Zn Ru Y
9 2 1
Cartesian
3.566 2.181 5.781
2.421 1.480 9.631
4.712 2.881 1.932
4.245 2.596 8.057
1.753 2.596 7.315
3.110 0.378 7.315
4.023 3.984 4.248
2.887 1.765 3.506
5.379 1.765 4.248
1.049 0.641 5.358
6.084 3.720 6.204
0.000 0.000 0.000

6.
YZnRu2, relaxed, DFT PBE-GGA; formation enthalpy at 0 K = 205 meV/atom; density = 7.5 Mg/m³; SG = I-42d (122)
1.0
4.173 0.000 0.000
0.000 4.173 0.000
2.086 2.086 9.084
Ru Y Zn
4 2 2
Cartesian
5.216 4.788 6.813
1.471 3.130 2.271
3.130 3.557 6.813
2.702 1.043 2.271
0.000 0.000 0.000
4.173 2.086 4.542
2.086 2.086 0.000
2.086 4.173 4.542

7.
YZnRu, relaxed, DFT PBE-GGA; formation enthalpy at 0 K = -357 meV/atom; density = 7.8 Mg/m³; SG = Imma (74)
1.0
-1.594 -4.308 -2.760
-0.108 -0.012 5.358
-3.038 4.413 -0.100
Zn Y Ru
2 2 2
Cartesian
-2.316 0.053 -1.430
-1.573 2.201 2.629
-1.647 -2.721 2.568
-3.093 2.815 -0.070
-2.370 0.047 1.249
-0.054 -0.006 2.679

8.
YZnRu, relaxed, DFT PBE-GGA; formation enthalpy at 0 K = -312 meV/atom; density = 7.4 Mg/m³; SG = Pnma (62)
1.0
-0.693 4.055 -0.524
-4.720 0.014 6.355
5.467 1.458 4.057
Y Ru Zn
4 4 4
Cartesian
-1.408 1.723 6.993
-1.891 3.077 1.701
1.462 3.804 2.896
1.945 2.450 8.188
2.001 2.077 5.229
-1.947 3.450 4.660
0.495 1.345 1.547
-0.441 4.182 8.342
4.136 2.248 3.725
0.382 4.003 5.863
-4.082 3.279 6.164
-0.328 1.524 4.026

9.
YZnRu, relaxed, DFT PBE-GGA; formation enthalpy at 0 K = -264 meV/atom; density = 7.2 Mg/m³; SG = P-6m2 (187)
1.0
4.374 0.000 0.000
-2.187 3.788 0.000
0.000 0.000 3.532
Y Ru Zn
1 1 1
Cartesian
2.187 1.263 1.177
0.000 0.000 2.943
0.000 2.525 2.943

10.
YZnRu, relaxed, DFT PBE-GGA; formation enthalpy at 0 K = 60 meV/atom; density = 6.9 Mg/m³; SG = P3m1 (156)
1.0
3.447 0.000 0.000
-1.723 2.985 0.000
0.000 0.000 5.945
Ru Y Zn
1 1 1
Cartesian
0.000 0.000 5.839
1.723 0.995 1.827
0.000 1.990 4.223

11.
Y3Zn4Ru2, relaxed, DFT PBE-GGA; formation enthalpy at 0 K = -307 meV/atom; density = 6.8 Mg/m³; SG = C2/m (12)
1.0
4.393 0.000 1.298
1.890 4.804 1.686
-0.096 0.107 8.408
Zn Y Ru
4 3 2
Cartesian
0.748 1.219 5.552
1.936 1.744 1.531
4.251 3.167 9.860
5.439 3.692 5.840
0.000 0.000 0.000
3.551 1.910 4.148
2.636 3.001 7.244
2.877 0.132 6.427
3.309 4.779 4.964

12.
YZnRu2, relaxed, DFT PBE-GGA; formation enthalpy at 0 K = 0 meV/atom; density = 8.4 Mg/m³; SG = Pmm2 (25)
1.0
2.933 0.000 0.000
0.000 3.658 0.000
0.000 0.000 6.548
Ru Zn Y
2 1 1
Cartesian
1.466 1.829 1.263
0.000 0.000 0.123
1.466 1.829 5.219
0.000 0.000 3.216

13.
YZnRu4, relaxed, DFT PBE-GGA; formation enthalpy at 0 K = 43 meV/atom; density = 9.2 Mg/m³; SG = F-43m (216)
1.0
0.000 3.692 3.692
3.692 0.000 3.692
3.692 3.692 0.000
Ru Y Zn
4 1 1
Cartesian
4.621 2.764 4.621
2.764 4.621 4.621
2.764 2.764 2.764
4.621 4.621 2.764
5.538 5.538 5.538
0.000 0.000 0.000

14.
YZn2Ru2, relaxed, DFT PBE-GGA; offset from the most stable computed form = 0.7 kJ/mol of atoms; formation enthalpy at 0 K = -72 meV/atom; density = 8.1 Mg/m³; SG = I4/mmm (139)
1.0
-0.059 -1.991 -3.338
-1.586 -3.036 1.838
-6.054 -0.464 -1.880
Zn Ru Y
2 2 1
Cartesian
-5.771 -3.410 -2.391
-1.928 -2.080 -0.989
-3.468 -2.484 -2.984
-4.231 -3.006 -0.396
0.000 0.000 0.000

15.
YZnRu2, relaxed, DFT PBE-GGA; formation enthalpy at 0 K = 12 meV/atom; density = 8.5 Mg/m³; SG = C2/m (12)
1.0
-0.307 1.849 4.336
-2.274 -0.656 4.088
3.215 -2.804 2.820
Zn Y Ru
1 1 2
Cartesian
0.159 -0.403 2.811
0.476 -1.208 8.433
0.097 -0.628 5.581
-2.360 1.016 8.465

16.
Y3Zn3Ru, relaxed, DFT PBE-GGA; formation enthalpy at 0 K = -335 meV/atom; density = 6.1 Mg/m³; SG = C2/m (12)
1.0
-2.039 -0.428 -3.311
-4.171 -3.827 0.753
-10.998 9.547 3.228
Zn Y Ru
6 6 2
Cartesian
-3.197 -0.150 -2.633
-9.317 6.675 2.564
-6.321 3.588 1.118
-7.891 -1.383 -1.894
-10.887 1.703 -0.448
-14.011 5.441 3.303
-4.960 -2.151 -1.289
-7.956 0.941 0.156
-12.248 7.442 1.958
-4.179 1.259 0.100
-13.029 4.032 0.570
-9.252 4.351 0.514
-11.268 2.356 2.013
-5.940 2.935 -1.343

17.
YZnRu, relaxed, DFT PBE-GGA; formation enthalpy at 0 K = -151 meV/atom; density = 6.6 Mg/m³; SG = Imma (74)
1.0
-0.760 -3.024 -3.771
4.260 -0.298 -3.795
2.550 -5.097 0.398
Zn Ru Y
2 2 2
Cartesian
4.511 -2.509 -4.117
3.651 -5.371 -4.823
2.846 -7.851 -4.259
3.225 -6.340 -2.374
4.976 -8.001 -6.156
1.951 -3.791 -2.573

18.
Y6Zn5Ru, relaxed, DFT PBE-GGA; formation enthalpy at 0 K = -388 meV/atom; density = 6.0 Mg/m³; SG = P2/m (10)
1.0
4.754 -0.028 1.590
0.038 7.131 0.013
0.014 -0.014 7.913
Y Zn Ru
6 5 1
Cartesian
0.806 5.372 5.628
2.386 1.696 0.798
4.020 5.358 3.895
4.000 1.716 3.888
2.406 5.407 0.805
0.787 1.730 5.621
0.019 3.566 0.006
1.600 3.551 3.196
3.206 3.537 6.321
3.207 -0.028 6.254
1.561 -0.014 3.250
0.000 0.000 0.000

19.
Y7Zn2Ru2, relaxed, DFT PBE-GGA; formation enthalpy at 0 K = -164 meV/atom; density = 5.4 Mg/m³; SG = Cmmm (65)
1.0
-1.164 6.530 -0.355
-5.565 -1.227 -4.320
-3.327 -2.728 5.061
Y Zn Ru
7 2 2
Cartesian
-5.376 0.214 3.745
-6.926 4.262 -1.006
-3.130 -1.687 1.392
-3.639 1.594 1.271
-4.680 2.361 -3.359
-6.417 0.981 -0.885
0.000 0.000 0.000
-6.522 2.552 1.758
-3.534 0.023 -1.372
-7.380 2.517 -3.045
-2.676 0.058 3.431

20.
YZnRu, relaxed, DFT PBE-GGA; formation enthalpy at 0 K = -251 meV/atom; density = 7.6 Mg/m³; SG = I4mm (107)
1.0
-0.471 5.239 0.909
-3.608 3.887 0.609
-0.534 0.493 3.351
Y Ru Zn
1 1 1
Cartesian
-1.737 3.423 2.729
-0.612 0.683 3.311
-2.797 6.006 2.180

21.
Y4Zn3Ru, relaxed, DFT PBE-GGA; formation enthalpy at 0 K = -372 meV/atom; density = 6.1 Mg/m³; SG = P4/mmm (123)
1.0
-0.117 -3.517 0.217
3.233 -0.194 -1.393
5.677 0.619 13.089
Ru Y Zn
1 4 3
Cartesian
1.558 -1.856 -0.588
3.561 0.388 8.209
2.116 0.231 4.880
0.651 0.071 1.502
5.026 0.548 11.587
5.830 -1.390 9.262
2.963 -1.702 2.651
4.397 -1.546 5.957

22.
YZn6Ru2, relaxed, DFT PBE-GGA; formation enthalpy at 0 K = -53 meV/atom; density = 7.5 Mg/m³; SG = Immm (71)
1.0
-2.307 -3.638 -0.817
3.709 -4.035 -4.273
4.022 -5.500 1.365
Y Zn Ru
1 6 2
Cartesian
0.000 0.000 0.000
0.735 -5.730 -0.094
4.837 -8.140 -0.948
2.649 -6.294 -2.988
0.587 -5.033 -2.777
4.688 -7.442 -3.631
2.774 -6.879 -0.737
2.665 -9.056 -2.502
2.758 -4.117 -1.223

23.
Y2Zn16Ru, relaxed, DFT PBE-GGA; formation enthalpy at 0 K = -223 meV/atom; density = 7.2 Mg/m³; SG = R3m (160)
1.0
-2.218 -0.400 6.394
4.872 -4.108 2.313
4.005 4.828 2.571
Zn Y Ru
16 2 1
Cartesian
7.069 -0.782 5.959
4.717 -1.857 5.138
7.710 0.515 8.098
4.246 2.326 10.092
2.321 -2.192 6.025
1.314 -0.077 7.097
5.415 0.407 4.125
1.890 2.250 6.153
3.811 3.358 7.765
2.392 -1.936 8.754
2.024 1.857 8.863
4.428 -3.001 7.582
0.683 0.033 1.157
4.670 -2.039 9.966
6.820 1.784 6.033
4.301 2.432 5.262
2.262 0.109 3.830
4.502 0.217 7.625
6.008 0.290 10.176

24.
YZnRu2, relaxed, DFT PBE-GGA; formation enthalpy at 0 K = 100 meV/atom; density = 8.7 Mg/m³; SG = Immm (71)
1.0
5.196 0.001 0.003
1.869 4.848 -0.003
-2.889 -3.362 2.711
Ru Zn Y
2 1 1
Cartesian
0.108 0.074 0.000
3.424 2.350 0.000
1.256 1.955 1.354
2.920 -0.468 1.357

25.
Y3ZnRu, relaxed, DFT PBE-GGA; offset from the most stable computed form = 0.0 kJ/mol of atoms; formation enthalpy at 0 K = -331 meV/atom; density = 5.9 Mg/m³; SG = Fmmm (69)
1.0
0.280 4.378 -3.736
-0.344 -5.126 -2.608
-7.863 0.895 3.190
Y Zn Ru
6 2 2
Cartesian
-6.882 2.840 -0.266
-2.257 0.402 -3.241
-5.620 0.624 -3.234
-5.670 -0.256 0.087
-2.307 -0.478 0.080
-1.045 -2.694 -2.888
-3.804 2.491 -1.503
-4.123 -2.345 -1.651
-0.048 -0.561 -4.758
-0.016 -0.187 -1.586